This record from the Alexandria database describes an optimized crystal structure of NdYSc2S4. The functional is GGA-PBE.

```
NdYSc2S4
1.0
6.641 0.000 0.000
0.000 3.800 0.000
-2.185 0.000 6.376
Nd Y Sc S
1 1 2 4
direct
0.000 0.000 0.000
0.500 0.500 0.000
0.000 0.500 0.500
0.500 0.000 0.500
0.249 0.000 0.728
0.265 0.500 0.276
0.735 0.500 0.724
0.751 0.000 0.272
```

Symmetry: P2/m, No. 10
ρ: 4.7 g cm⁻³
Formation energy without anion corrections: -1.918 eV per atom
DOS(E_F): 4.63 states/eV per cell
E_tot: -55.751 eV for the cell shown



This record from the Alexandria database describes an optimized crystal structure of Pm3Ga3Au8. The functional is GGA-PBE.

```
Pm3Ga3Au8
1.0
8.117 -2.338 0.000
8.117 2.338 0.000
-4.829 0.000 7.664
Pm Ga Au
3 3 8
direct
0.000 0.000 0.000
0.293 0.293 0.281
0.707 0.707 0.719
0.000 0.000 0.500
0.334 0.334 0.679
0.666 0.666 0.321
0.132 0.132 0.841
0.142 0.142 0.427
0.350 0.350 0.970
0.495 0.495 0.666
0.505 0.505 0.334
0.650 0.650 0.030
0.858 0.858 0.573
0.868 0.868 0.159
```

Symmetry: C2/m, No. 12
ρ: 12.7 g cm⁻³
Excess energy over the best structure of this formula in the dataset: 0.0 meV per atom
DOS(E_F): 6.71 states/eV per cell
E_tot: -58.574 eV for the cell shown



This record from the Alexandria database describes an optimized crystal structure of HIr2PbO. The functional is GGA-PBE.

```
HIr2PbO
1.0
5.171 0.000 0.000
0.000 5.171 0.000
0.000 0.000 4.285
H Ir Pb O
1 2 1 1
direct
0.000 0.000 0.000
0.000 0.500 0.500
0.500 0.000 0.500
0.500 0.500 0.500
0.500 0.500 0.000
```

Symmetry: P4/mmm, No. 123
ρ: 8.8 g cm⁻³
DOS(E_F): 6.36 states/eV per cell
E_tot: -18.750 eV for the cell shown



Q: Which formula does entry 1 have?
A: NdYSc2S4



Q: Among the records above, which one has the highest DOS(E_F)?
A: Pm3Ga3Au8



Q: ρ of number 1 (NdYSc2S4)?
A: 4.7 g cm⁻³



Q: The lowest DOS(E_F) belongs to which entry?
A: NdYSc2S4